This record from Alexandria describes a geometry-optimized MgMn2F structure. The functional is GGA+U.

a b c (Å): 6.8157 6.8157 6.8157
angles (deg): 90.00 90.00 90.00
Space group Fm-3m (No. 225)
Asymmetric unit:
1 Mg 0.0000 0.0000 0.0000 x4
2 Mn 0.2500 0.2500 0.2500 x8
3 F 0.0000 0.0000 0.5000 x4

Properties
- DFT total energy (eV per atom) = -4.5688
- total moment (μB per cell) = 38.683
- crystal system = cubic
- V (A^3/atom) = 19.8